# PBE-GGA RbTcTeN2, relaxed
# Magnetization in μB per atom: 0.000
# Excess energy over the best structure of this formula in the dataset in eV/atom: 0.000
data_RbTcTeN2
_cell_length_a 4.1621
_cell_length_b 4.1621
_cell_length_c 5.5189
_cell_angle_alpha 90.00
_cell_angle_beta 90.00
_cell_angle_gamma 90.00
_symmetry_space_group_name_H-M 'P 4/m m m'
_symmetry_Int_Tables_number 123
_symmetry_space_group_name_Hall '-P 4 2'
loop_
_atom_site_label
_atom_site_type_symbol
_atom_site_fract_x
_atom_site_fract_y
_atom_site_fract_z
Rb1 Rb 0.0000 0.0000 0.0000
Tc1 Tc 0.5000 0.5000 0.5000
Te1 Te 0.5000 0.5000 0.0000
N1 N 0.0000 0.5000 0.5000


# PBE-GGA RbUTcN4, relaxed
# Magnetization in μB per atom: 0.000
# Electronic total energy in eV/atom: -8.449
data_RbUTcN4
_cell_length_a 5.9864
_cell_length_b 5.6924
_cell_length_c 7.9807
_cell_angle_alpha 90.00
_cell_angle_beta 108.04
_cell_angle_gamma 90.00
_symmetry_space_group_name_H-M 'P 1 21/m 1'
_symmetry_Int_Tables_number 11
_symmetry_space_group_name_Hall '-P 2yb'
loop_
_atom_site_label
_atom_site_type_symbol
_atom_site_fract_x
_atom_site_fract_y
_atom_site_fract_z
Rb1 Rb 0.2050 0.2500 0.4387
U1 U 0.2963 0.2500 0.9600
Tc1 Tc 0.2458 0.7500 0.1478
N1 N 0.0123 0.7500 0.9391
N2 N 0.0491 0.7500 0.2798
N3 N 0.4811 0.5119 0.1601


# PBE-GGA Rb2ZrTcN, relaxed
# Magnetization in μB per atom: 0.413
# Electronic total energy in eV/atom: -4.024
data_Rb2ZrTcN
_cell_length_a 6.7947
_cell_length_b 6.7947
_cell_length_c 4.7012
_cell_angle_alpha 90.00
_cell_angle_beta 90.00
_cell_angle_gamma 90.00
_symmetry_space_group_name_H-M 'P 4/m m m'
_symmetry_Int_Tables_number 123
_symmetry_space_group_name_Hall '-P 4 2'
loop_
_atom_site_label
_atom_site_type_symbol
_atom_site_fract_x
_atom_site_fract_y
_atom_site_fract_z
Rb1 Rb 0.0000 0.5000 0.0000
Zr1 Zr 0.0000 0.0000 0.5000
Tc1 Tc 0.0000 0.0000 0.0000
N1 N 0.5000 0.5000 0.5000


# PBE-GGA RbZr2TcN, relaxed
# Magnetization in μB per atom: 0.000
# Electronic total energy in eV/atom: -4.067
data_RbZr2TcN
_cell_length_a 4.9856
_cell_length_b 4.9856
_cell_length_c 4.5240
_cell_angle_alpha 90.00
_cell_angle_beta 90.00
_cell_angle_gamma 90.00
_symmetry_space_group_name_H-M 'P 4/m m m'
_symmetry_Int_Tables_number 123
_symmetry_space_group_name_Hall '-P 4 2'
loop_
_atom_site_label
_atom_site_type_symbol
_atom_site_fract_x
_atom_site_fract_y
_atom_site_fract_z
Rb1 Rb 0.0000 0.0000 0.0000
Zr1 Zr 0.0000 0.5000 0.0000
Tc1 Tc 0.0000 0.0000 0.5000
N1 N 0.5000 0.5000 0.5000


# PBE-GGA RbTeN3, relaxed
# Magnetization in μB per atom: 0.432
# Electronic total energy in eV/atom: -4.388
data_RbTeN3
_cell_length_a 4.1746
_cell_length_b 4.1746
_cell_length_c 4.1746
_cell_angle_alpha 90.00
_cell_angle_beta 90.00
_cell_angle_gamma 90.00
_symmetry_space_group_name_H-M 'P m -3 m'
_symmetry_Int_Tables_number 221
_symmetry_space_group_name_Hall '-P 4 2 3'
loop_
_atom_site_label
_atom_site_type_symbol
_atom_site_fract_x
_atom_site_fract_y
_atom_site_fract_z
Rb1 Rb 0.0000 0.0000 0.0000
Te1 Te 0.5000 0.5000 0.5000
N1 N 0.0000 0.5000 0.5000


# PBE-GGA Rb2TeN, relaxed
# Magnetization in μB per atom: 0.750
# Excess energy over the best structure of this formula in the dataset in eV/atom: 0.242
data_Rb2TeN
_cell_length_a 8.4808
_cell_length_b 8.4808
_cell_length_c 8.4808
_cell_angle_alpha 90.00
_cell_angle_beta 90.00
_cell_angle_gamma 90.00
_symmetry_space_group_name_H-M 'F m -3 m'
_symmetry_Int_Tables_number 225
_symmetry_space_group_name_Hall '-F 4 2 3'
loop_
_atom_site_label
_atom_site_type_symbol
_atom_site_fract_x
_atom_site_fract_y
_atom_site_fract_z
Rb1 Rb 0.2500 0.2500 0.2500
Te1 Te 0.0000 0.0000 0.0000
N1 N 0.0000 0.0000 0.5000


# PBE-GGA Rb2TeN, relaxed
# Magnetization in μB per atom: 0.233
# Excess energy over the best structure of this formula in the dataset in eV/atom: 0.000
data_Rb2TeN
_cell_length_a 12.1010
_cell_length_b 12.1010
_cell_length_c 4.4050
_cell_angle_alpha 90.00
_cell_angle_beta 90.00
_cell_angle_gamma 90.00
_symmetry_space_group_name_H-M 'I -4 2 d'
_symmetry_Int_Tables_number 122
_symmetry_space_group_name_Hall 'I -4 2bw'
loop_
_atom_site_label
_atom_site_type_symbol
_atom_site_fract_x
_atom_site_fract_y
_atom_site_fract_z
Rb1 Rb 0.0313 0.2500 0.1250
Te1 Te 0.0000 0.0000 0.5000
N1 N 0.0000 0.0000 0.0000


# PBE-GGA Rb4Te3N2, relaxed
# Magnetization in μB per atom: 0.434
# Electronic total energy in eV/atom: -3.395
data_Rb4Te3N2
_cell_length_a 18.8543
_cell_length_b 9.7187
_cell_length_c 9.4744
_cell_angle_alpha 90.00
_cell_angle_beta 119.64
_cell_angle_gamma 90.00
_symmetry_space_group_name_H-M 'C 1 2/c 1'
_symmetry_Int_Tables_number 15
_symmetry_space_group_name_Hall '-C 2yc'
loop_
_atom_site_label
_atom_site_type_symbol
_atom_site_fract_x
_atom_site_fract_y
_atom_site_fract_z
Rb1 Rb 0.0238 0.2162 0.0266
Rb2 Rb 0.1744 0.4169 0.6667
Te1 Te 0.0000 0.4940 0.7500
Te2 Te 0.1508 0.0203 0.4227
N1 N 0.1497 0.1142 0.6054


# PBE-GGA Rb3Te2N2, relaxed
# Magnetization in μB per atom: 0.125
# Electronic total energy in eV/atom: -4.260
data_Rb3Te2N2
_cell_length_a 5.2397
_cell_length_b 6.8646
_cell_length_c 8.7412
_cell_angle_alpha 77.12
_cell_angle_beta 89.31
_cell_angle_gamma 69.22
_symmetry_space_group_name_H-M 'P -1'
_symmetry_Int_Tables_number 2
_symmetry_space_group_name_Hall '-P 1'
loop_
_atom_site_label
_atom_site_type_symbol
_atom_site_fract_x
_atom_site_fract_y
_atom_site_fract_z
Rb1 Rb 0.0000 0.0000 0.0000
Rb2 Rb 0.1425 0.6907 0.6036
Te1 Te 0.4633 0.0780 0.6810
N1 N 0.4202 0.5328 0.9495


# PBE-GGA Rb3TeN, relaxed
# Magnetization in μB per atom: 0.400
# Excess energy over the best structure of this formula in the dataset in eV/atom: 0.000
data_Rb3TeN
_cell_length_a 5.7277
_cell_length_b 5.7277
_cell_length_c 5.7277
_cell_angle_alpha 90.00
_cell_angle_beta 90.00
_cell_angle_gamma 90.00
_symmetry_space_group_name_H-M 'P m -3 m'
_symmetry_Int_Tables_number 221
_symmetry_space_group_name_Hall '-P 4 2 3'
loop_
_atom_site_label
_atom_site_type_symbol
_atom_site_fract_x
_atom_site_fract_y
_atom_site_fract_z
Rb1 Rb 0.0000 0.0000 0.5000
Te1 Te 0.5000 0.5000 0.5000
N1 N 0.0000 0.0000 0.0000


# PBE-GGA Rb4Te3N4, relaxed
# Magnetization in μB per atom: 0.000
# Electronic total energy in eV/atom: -4.758
data_Rb4Te3N4
_cell_length_a 19.7075
_cell_length_b 5.9731
_cell_length_c 7.2676
_cell_angle_alpha 90.00
_cell_angle_beta 105.39
_cell_angle_gamma 90.00
_symmetry_space_group_name_H-M 'C 1 2/m 1'
_symmetry_Int_Tables_number 12
_symmetry_space_group_name_Hall '-C 2y'
loop_
_atom_site_label
_atom_site_type_symbol
_atom_site_fract_x
_atom_site_fract_y
_atom_site_fract_z
Rb1 Rb 0.0734 0.0000 0.2701
Rb2 Rb 0.2136 0.5000 0.7435
Te1 Te 0.0000 0.5000 0.0000
Te2 Te 0.1646 0.5000 0.2034
N1 N 0.1066 0.0000 0.8725
N2 N 0.1156 0.0000 0.7264


# PBE-GGA Rb7TeN12, relaxed
# Magnetization in μB per atom: 0.253
# Electronic total energy in eV/atom: -5.698
data_Rb7TeN12
_cell_length_a 15.3790
_cell_length_b 15.3790
_cell_length_c 7.2862
_cell_angle_alpha 90.00
_cell_angle_beta 90.00
_cell_angle_gamma 120.00
_symmetry_space_group_name_H-M 'R -3'
_symmetry_Int_Tables_number 148
_symmetry_space_group_name_Hall '-R 3'
loop_
_atom_site_label
_atom_site_type_symbol
_atom_site_fract_x
_atom_site_fract_y
_atom_site_fract_z
Rb1 Rb 0.0000 0.0000 0.0000
Rb2 Rb 0.0631 0.2494 0.6499
Te1 Te 0.0000 0.0000 0.5000
N1 N 0.0364 0.2593 0.2190
N2 N 0.0442 0.2443 0.0636


# PBE-GGA RbTe2N, relaxed
# Magnetization in μB per atom: 0.000
# Electronic total energy in eV/atom: -3.635
data_RbTe2N
_cell_length_a 7.6537
_cell_length_b 7.6537
_cell_length_c 8.7522
_cell_angle_alpha 90.00
_cell_angle_beta 90.00
_cell_angle_gamma 90.00
_symmetry_space_group_name_H-M 'I -4 2 d'
_symmetry_Int_Tables_number 122
_symmetry_space_group_name_Hall 'I -4 2bw'
loop_
_atom_site_label
_atom_site_type_symbol
_atom_site_fract_x
_atom_site_fract_y
_atom_site_fract_z
Rb1 Rb 0.0000 0.0000 0.0000
Te1 Te 0.0688 0.2500 0.6250
N1 N 0.0000 0.0000 0.5000


# PBE-GGA RbTe2N, relaxed
# Magnetization in μB per atom: 0.000
# Electronic total energy in eV/atom: -3.520
data_RbTe2N
_cell_length_a 6.2553
_cell_length_b 6.2553
_cell_length_c 17.6277
_cell_angle_alpha 90.00
_cell_angle_beta 90.00
_cell_angle_gamma 120.00
_symmetry_space_group_name_H-M 'R -3 m'
_symmetry_Int_Tables_number 166
_symmetry_space_group_name_Hall '-R 3 2"'
loop_
_atom_site_label
_atom_site_type_symbol
_atom_site_fract_x
_atom_site_fract_y
_atom_site_fract_z
Rb1 Rb 0.0000 0.0000 0.0000
Te1 Te 0.0000 0.0000 0.3904
N1 N 0.0000 0.0000 0.5000


# PBE-GGA Rb2Te4N3, relaxed
# Magnetization in μB per atom: 0.000
# Electronic total energy in eV/atom: -4.090
data_Rb2Te4N3
_cell_length_a 8.4966
_cell_length_b 12.7909
_cell_length_c 11.7935
_cell_angle_alpha 90.00
_cell_angle_beta 96.01
_cell_angle_gamma 90.00
_symmetry_space_group_name_H-M 'C 1 2/c 1'
_symmetry_Int_Tables_number 15
_symmetry_space_group_name_Hall '-C 2yc'
loop_
_atom_site_label
_atom_site_type_symbol
_atom_site_fract_x
_atom_site_fract_y
_atom_site_fract_z
Rb1 Rb 0.2236 0.0280 0.1535
Te1 Te 0.0635 0.2038 0.8893
Te2 Te 0.1229 0.2427 0.3748
N1 N 0.0000 0.1129 0.7500
N2 N 0.1468 0.1777 0.5395


# PBE-GGA RbTeN3, relaxed
# Magnetization in μB per atom: 0.242
# Electronic total energy in eV/atom: -2.538
data_RbTeN3
_cell_length_a 4.3430
_cell_length_b 4.3430
_cell_length_c 4.3430
_cell_angle_alpha 90.00
_cell_angle_beta 90.00
_cell_angle_gamma 90.00
_symmetry_space_group_name_H-M 'P m -3 m'
_symmetry_Int_Tables_number 221
_symmetry_space_group_name_Hall '-P 4 2 3'
loop_
_atom_site_label
_atom_site_type_symbol
_atom_site_fract_x
_atom_site_fract_y
_atom_site_fract_z
Rb1 Rb 0.0000 0.0000 0.0000
Te1 Te 0.5000 0.5000 0.5000
N1 N 0.0000 0.0000 0.5000


# PBE-GGA Rb2TeN2, relaxed
# Magnetization in μB per atom: 0.000
# Electronic total energy in eV/atom: -4.939
data_Rb2TeN2
_cell_length_a 10.6727
_cell_length_b 6.1412
_cell_length_c 10.6787
_cell_angle_alpha 90.00
_cell_angle_beta 109.31
_cell_angle_gamma 90.00
_symmetry_space_group_name_H-M 'C 1 2/c 1'
_symmetry_Int_Tables_number 15
_symmetry_space_group_name_Hall '-C 2yc'
loop_
_atom_site_label
_atom_site_type_symbol
_atom_site_fract_x
_atom_site_fract_y
_atom_site_fract_z
Rb1 Rb 0.1257 0.2460 0.1241
Te1 Te 0.0000 0.2532 0.7500
N1 N 0.2312 0.1754 0.5185


# PBE-GGA RbTe2N, relaxed
# Magnetization in μB per atom: 0.000
# Electronic total energy in eV/atom: -3.011
data_RbTe2N
_cell_length_a 3.6654
_cell_length_b 3.6654
_cell_length_c 29.7088
_cell_angle_alpha 90.00
_cell_angle_beta 90.00
_cell_angle_gamma 120.00
_symmetry_space_group_name_H-M 'R -3 m'
_symmetry_Int_Tables_number 166
_symmetry_space_group_name_Hall '-R 3 2"'
loop_
_atom_site_label
_atom_site_type_symbol
_atom_site_fract_x
_atom_site_fract_y
_atom_site_fract_z
Rb1 Rb 0.0000 0.0000 0.0000
Te1 Te 0.0000 0.0000 0.1176
N1 N 0.0000 0.0000 0.5000


# PBE-GGA Rb5Te2N2, relaxed
# Magnetization in μB per atom: 0.092
# Electronic total energy in eV/atom: -3.700
data_Rb5Te2N2
_cell_length_a 20.2691
_cell_length_b 6.3057
_cell_length_c 7.2883
_cell_angle_alpha 90.00
_cell_angle_beta 105.34
_cell_angle_gamma 90.00
_symmetry_space_group_name_H-M 'C 1 2/m 1'
_symmetry_Int_Tables_number 12
_symmetry_space_group_name_Hall '-C 2y'
loop_
_atom_site_label
_atom_site_type_symbol
_atom_site_fract_x
_atom_site_fract_y
_atom_site_fract_z
Rb1 Rb 0.0000 0.0000 0.0000
Rb2 Rb 0.1304 0.5000 0.4296
Rb3 Rb 0.2223 0.0000 0.7906
Te1 Te 0.1836 0.0000 0.2492
N1 N 0.0120 0.5000 0.0818


# PBE-GGA RbTi2TeN, relaxed
# Magnetization in μB per atom: 0.774
# Electronic total energy in eV/atom: -3.638
data_RbTi2TeN
_cell_length_a 5.2360
_cell_length_b 5.2360
_cell_length_c 4.2238
_cell_angle_alpha 90.00
_cell_angle_beta 90.00
_cell_angle_gamma 90.00
_symmetry_space_group_name_H-M 'P 4/m m m'
_symmetry_Int_Tables_number 123
_symmetry_space_group_name_Hall '-P 4 2'
loop_
_atom_site_label
_atom_site_type_symbol
_atom_site_fract_x
_atom_site_fract_y
_atom_site_fract_z
Rb1 Rb 0.0000 0.0000 0.0000
Ti1 Ti 0.0000 0.5000 0.0000
Te1 Te 0.5000 0.5000 0.5000
N1 N 0.0000 0.0000 0.5000


Number 1: V 19.1 Å³ per atom. Number 2: V 18.5 Å³ per atom. Number 3: V 43.4 Å³ per atom. Number 4: V 22.5 Å³ per atom. Number 5: V 14.6 Å³ per atom. Number 6: V 38.1 Å³ per atom. Number 7: V 40.3 Å³ per atom. Number 8: V 41.9 Å³ per atom. Number 9: V 40.8 Å³ per atom. Number 10: V 37.6 Å³ per atom. Number 11: V 37.5 Å³ per atom. Number 12: V 24.9 Å³ per atom. Number 13: V 32.0 Å³ per atom. Number 14: V 49.8 Å³ per atom. Number 15: V 35.4 Å³ per atom. Number 16: V 16.4 Å³ per atom. Number 17: V 33.0 Å³ per atom. Number 18: V 28.8 Å³ per atom. Number 19: V 49.9 Å³ per atom. Number 20: V 23.2 Å³ per atom.